Compound: NpCoB2O6
Source: Alexandria
Functional: PBE+U
Structure: optimized geometry

Summary:
- Magnetic moment: 0.400 μB/atom
- E: -166.25 eV/cell
- N(E_F): 0.3353 states/eV per atom

POSCAR file:
```
NpCoB2O6
1.0
4.860 -0.140 -0.145
1.379 6.227 0.094
1.379 -0.137 6.226
B Co O Np
4 2 12 2
direct
0.217 0.798 0.631
0.283 0.369 0.202
0.783 0.202 0.369
0.717 0.631 0.798
0.250 0.904 0.096
0.750 0.096 0.904
0.322 0.871 0.416
0.822 0.416 0.871
0.146 0.967 0.789
0.678 0.129 0.584
0.854 0.033 0.211
0.354 0.211 0.033
0.027 0.318 0.373
0.527 0.373 0.318
0.973 0.682 0.627
0.646 0.789 0.967
0.178 0.584 0.129
0.473 0.627 0.682
0.250 0.307 0.693
0.750 0.693 0.307
```